AcSbAu2 | GGA-PBE | relaxed

Energy above the most stable polymorph in this dataset: 159 meV per atom
Space-group type: P4/mmm, No. 123
Energy relative to the elements, uncorrected: -0.540 eV/atom

Unit cell a=4.5182 b=4.8136 c=4.8136 alpha=90.00 beta=90.00 gamma=90.00
Closest atoms and distances in Å follow each position.
Fractional coordinates of all 4 atoms:
1 Au 0.0000 0.5000 0.0000  4 Ac 3.30, 4 Sb 3.30, 4 Au 3.40
2 Au 0.0000 0.0000 0.5000  4 Ac 3.30, 4 Sb 3.30, 4 Au 3.40
3 Ac 0.5000 0.5000 0.5000  8 Au 3.30, 4 Sb 3.40
4 Sb 0.5000 0.0000 0.0000  8 Au 3.30, 4 Ac 3.40

Ac2Sb4Au | GGA-PBE | relaxed

Space-group type: P-4m2, No. 115
Energy relative to the elements, uncorrected: -0.771 eV/atom

Unit cell a=4.6343 b=4.6343 c=10.3069 alpha=90.00 beta=90.00 gamma=90.00
Closest atoms and distances in Å follow each position.
Fractional coordinates of all 7 atoms:
1 Sb 0.0000 0.5000 0.8536  2 Au 2.77
2 Sb 0.5000 0.5000 0.5000  4 Sb 3.28, 4 Ac 3.54
3 Sb 0.0000 0.0000 0.5000  4 Sb 3.28, 4 Ac 3.54
4 Sb 0.5000 0.0000 0.1464  2 Au 2.77
5 Au 0.5000 0.5000 0.0000  4 Sb 2.77
6 Ac 0.5000 0.0000 0.7596  2 Au 3.39, 8 Sb 3.42-3.54
7 Ac 0.0000 0.5000 0.2404  2 Au 3.39, 8 Sb 3.42-3.54

| no. | DOS at the Fermi energy (states/eV per atom) |
| --- | --- |
| 1 | 0.429 |
| 2 | 0.625 |